No. 1
# Na2MnBiO4

A geometry-optimized Na2MnBiO4 structure (PBE with a Hubbard U, Alexandria via LeMat-Bulk).

Computed properties:
SG: P2/m
D(E_F), states/eV/atom: 0.323

Lattice parameters (Å, degrees): 3.3847 5.7352 5.8533 108.82 90.00 90.00
Last column: magnetic moment on the atom in μB.
Positions (direct):
Na1 0.0000 0.5000 0.5000  0.00
O1 0.0000 0.7243 0.2194  -0.01
Mn1 0.5000 0.5000 0.0000  4.05
Bi1 0.0000 0.0000 0.0000  0.01
O2 0.5000 0.7161 0.7921  -0.05
O3 0.5000 0.2839 0.2079  -0.05
Na2 0.5000 0.0000 0.5000  0.00
O4 0.0000 0.2757 0.7806  -0.01



No. 2
# NaMnBiO4

A geometry-optimized NaMnBiO4 structure (PBE with a Hubbard U, Alexandria via LeMat-Bulk).

Computed properties:
SG: Imma
D(E_F), states/eV/atom: 0.297

Lattice parameters (Å, degrees): 6.4298 6.5651 6.9599 122.01 90.00 119.32
Last column: magnetic moment on the atom in μB.
Positions (direct):
O1 0.2310 0.9310 0.7155  -0.17
Na1 0.1262 0.2523 0.8762  0.00
Bi1 0.5000 0.0000 0.0000  -0.06
O2 0.7000 0.9310 0.7155  -0.17
Mn1 0.5000 0.5000 0.5000  3.83
O3 0.7467 0.4935 0.6981  -0.18
Mn2 0.0000 0.5000 0.5000  3.83
Bi2 0.5000 0.0000 0.5000  -0.06
O4 0.7467 0.4935 0.2954  -0.18
O5 0.7690 0.0690 0.2845  -0.17
Na2 0.8738 0.7477 0.1238  0.00
O6 0.2533 0.5065 0.3019  -0.18
O7 0.2533 0.5065 0.7046  -0.18
O8 0.3000 0.0690 0.2845  -0.17



No. 3
# NaSrMnBiO6

A geometry-optimized NaSrMnBiO6 structure (PBE with a Hubbard U, Alexandria via LeMat-Bulk).

Computed properties:
SG: F-43m
D(E_F), states/eV/atom: 0.570

Lattice parameters (Å, degrees): 5.7143 5.7143 5.7143 60.00 60.00 60.00
Last column: magnetic moment on the atom in μB.
Positions (direct):
Mn1 0.5000 0.5000 0.5000  3.31
O1 0.2606 0.7394 0.2606  -0.01
O2 0.7394 0.2606 0.7394  -0.01
Bi1 0.0000 0.0000 0.0000  0.01
O3 0.7394 0.2606 0.2606  -0.01
Sr1 0.7500 0.7500 0.7500  0.00
O4 0.7394 0.7394 0.2606  -0.01
Na1 0.2500 0.2500 0.2500  0.00
O5 0.2606 0.2606 0.7394  -0.01
O6 0.2606 0.7394 0.7394  -0.01



We obtain total energy values of -45.0; -41.7; -58.7 eV per formula unit for the records listed above, in that order.
We obtain magnetization values of 4.1; 6.1; 3.4 μB per cell for the records listed above, in that order.